No. 1
Density functional theory data (PBE) for a geometry-optimized LiZrAgBr6 structure.

Cell: 6.851 6.851 12.734 Å, 90.00 90.00 120.00°
Atoms (fractional coordinates):
Li  0.333  0.667  0.250
Li  0.667  0.333  0.750
Zr  0.333  0.667  0.750
Zr  0.667  0.333  0.250
Ag  0.000  0.000  0.000
Ag  0.000  0.000  0.500
Br  0.010  0.356  0.630
Br  0.010  0.654  0.870
Br  0.346  0.356  0.870
Br  0.346  0.990  0.630
Br  0.356  0.010  0.130
Br  0.356  0.346  0.370
Br  0.644  0.654  0.630
Br  0.644  0.990  0.870
Br  0.654  0.010  0.370
Br  0.654  0.644  0.130
Br  0.990  0.346  0.130
Br  0.990  0.644  0.370

Output
energy relative to the elements, uncorrected: -1.159 eV per atom
N(E_F): 0.00 states/eV/cell
calculated density: 4.40 g/cm³


No. 2
Density functional theory data (PBE) for a geometry-optimized MgAgBr2 structure.

Cell: 5.629 5.629 3.803 Å, 97.25 97.25 89.94°
Atoms (fractional coordinates):
Mg  0.000  0.000  0.000
Ag  0.500  0.500  0.000
Br  0.000  0.500  0.000
Br  0.500  0.000  0.000

Output
energy relative to the elements, uncorrected: -0.390 eV per atom
N(E_F): 1.36 states/eV/cell
offset from the most stable computed form: 338 meV/atom
calculated density: 4.09 g/cm³


No. 3
Density functional theory data (PBE) for a geometry-optimized Mg4AgBr structure.

Cell: 5.904 5.904 5.904 Å, 60.00 60.00 60.00°
Atoms (fractional coordinates):
Mg  0.124  0.124  0.124
Mg  0.124  0.124  0.628
Mg  0.124  0.628  0.124
Mg  0.628  0.124  0.124
Ag  0.750  0.750  0.750
Br  0.500  0.500  0.500

Output
energy relative to the elements, uncorrected: 0.099 eV per atom
N(E_F): 4.65 states/eV/cell
calculated density: 3.25 g/cm³